Record 1
{"formula": "GaSnAu", "functional": "PBE-GGA", "state": "relaxed", "m_tot_mub_per_atom": 0.000, "vol_a3_per_cell": 136, "formation_energy_ev_per_atom": -0.140, "mass_density_g_cm3": 9.4, "dft_energy_ev_per_cell": -21.45, "dos_ef_per_ev_atom": 0.43, "cell": [[3.250, 0.001, 0.073], [-0.001, 6.372, 0.000], [-3.385, -0.001, 6.478]], "species": ["Au", "Au", "Sn", "Sn", "Ga", "Ga"], "fractional_positions": [[0.277, 0.660, 0.138], [0.241, 0.160, 0.602], [0.644, 0.318, 0.005], [0.874, 0.817, 0.736], [0.628, 0.462, 0.490], [0.889, 0.962, 0.251]]}

Record 2
{"formula": "AcRe2O8", "functional": "PBE-GGA", "state": "relaxed", "m_tot_mub_per_atom": 0.000, "vol_a3_per_cell": 255, "mass_density_g_cm3": 4.7, "formation_energy_uncorrected_ev_per_atom": -2.094, "dft_energy_ev_per_cell": -91.71, "dos_ef_per_ev_atom": 0.41, "cell": [[6.440, 0.000, -3.028], [-1.424, 6.281, -3.028], [-0.619, -0.775, 7.046]], "species": ["Ac", "Re", "Re", "O", "O", "O", "O", "O", "O", "O", "O"], "fractional_positions": [[0.500, 0.500, 0.000], [0.750, 0.250, 0.500], [0.250, 0.750, 0.500], [0.648, 0.352, 0.297], [0.055, 0.352, 0.703], [0.648, 0.352, 0.703], [0.352, 0.055, 0.703], [0.648, 0.945, 0.297], [0.945, 0.648, 0.297], [0.352, 0.648, 0.297], [0.352, 0.648, 0.703]]}

Record 3
{"formula": "Tm3SbS3", "functional": "PBE-GGA", "state": "relaxed", "m_tot_mub_per_atom": 0.000, "vol_a3_per_cell": 375, "mass_density_g_cm3": 6.4, "formation_energy_uncorrected_ev_per_atom": -1.657, "dft_energy_ev_per_cell": -83.04, "cell": [[-1.647, 4.482, 6.142], [-7.018, 3.297, 0.639], [-5.262, -3.148, 5.813]], "species": ["Tm", "Tm", "Tm", "Tm", "Tm", "Tm", "Sb", "Sb", "S", "S", "S", "S", "S", "S"], "fractional_positions": [[0.282, 0.519, 0.279], [0.920, 0.282, 0.279], [0.519, 0.920, 0.279], [0.481, 0.080, 0.721], [0.080, 0.718, 0.721], [0.718, 0.481, 0.721], [0.333, 0.333, 0.000], [0.667, 0.667, 0.000], [0.383, 0.830, 0.655], [0.830, 0.133, 0.655], [0.133, 0.383, 0.655], [0.867, 0.617, 0.345], [0.170, 0.867, 0.345], [0.617, 0.170, 0.345]]}